## MnCdN2F (meta-GGA SCAN)

Data for a crystal of MnCdN2F relaxed with PBEsol.

```
MnCdN2F
1.0
3.637 0.000 0.000
0.000 3.637 0.000
0.000 0.000 4.039
Mn Cd N F
1 1 2 1
direct
0.000 0.000 0.000
0.500 0.500 0.500
0.000 0.500 0.000
0.500 0.000 0.000
0.000 0.000 0.500
```

Output
Electronic total energy (eV for the cell shown): -71.50



## CdN2F2 (meta-GGA SCAN)

Data for a crystal of CdN2F2 relaxed with PBEsol.

```
CdN2F2
1.0
3.513 0.000 0.000
0.000 3.513 0.000
0.000 0.000 4.622
Cd N F
1 2 2
direct
0.000 0.000 0.000
0.000 0.500 0.500
0.500 0.000 0.500
0.500 0.500 0.000
0.500 0.500 0.500
```

Output
Electronic total energy (eV for the cell shown): -49.84



## CdNF2 (meta-GGA SCAN)

Data for a crystal of CdNF2 relaxed with PBEsol.

```
CdNF2
1.0
0.000 2.834 2.834
2.834 0.000 2.834
2.834 2.834 0.000
Cd N F
1 1 2
direct
0.000 0.000 0.000
0.500 0.500 0.500
0.250 0.250 0.250
0.750 0.750 0.750
```

Output
Electronic total energy (eV for the cell shown): -48.45



## CdNF3 (meta-GGA SCAN)

Data for a crystal of CdNF3 relaxed with PBEsol.

```
CdNF3
1.0
4.241 0.000 0.000
0.000 4.241 0.000
0.000 0.000 4.241
Cd N F
1 1 3
direct
0.000 0.000 0.000
0.500 0.500 0.500
0.000 0.000 0.500
0.000 0.500 0.000
0.500 0.000 0.000
```

Output
Electronic total energy (eV for the cell shown): -52.24



## CdNOF2 (meta-GGA SCAN)

Data for a crystal of CdNOF2 relaxed with PBEsol.

```
CdNOF2
1.0
4.243 0.000 0.000
0.000 4.243 0.000
0.000 0.000 4.727
Cd N O F
1 1 1 2
direct
0.000 0.000 0.000
0.000 0.000 0.500
0.500 0.500 0.500
0.000 0.500 0.000
0.500 0.000 0.000
```

Output
Electronic total energy (eV for the cell shown): -51.46



## CdPNF2 (meta-GGA SCAN)

Data for a crystal of CdPNF2 relaxed with PBEsol.

```
CdPNF2
1.0
4.456 0.000 0.000
0.000 4.456 0.000
0.000 0.000 3.275
Cd P N F
1 1 1 2
direct
0.000 0.000 0.000
0.500 0.500 0.500
0.500 0.500 0.000
0.000 0.500 0.500
0.500 0.000 0.500
```

Output
Electronic total energy (eV for the cell shown): -59.86